[1]
Here is a relaxed structure of NaLi5Hg8 from Alexandria. Energies are from PBE.

The space group is I-4 (No. 82) and the conventional cell measures 8.454, 8.454 and 8.574 Å, with angles of 90.00, 90.00 and 90.00 degrees. Symmetry generates all atoms from Na at (0.000, 0.000, 0.000), Li at (0.000, 0.500, 0.750), Li at (0.133, 0.277, 0.345), Hg at (0.071, 0.168, 0.678) and Hg at (0.099, 0.344, 0.023).

The density of states at the Fermi level is 5.20 states/eV per cell. For the calculated formation energy, the calculation gives -249 meV/atom.

[2]
Here is a relaxed structure of NbCr3Os from Alexandria. Energies are from PBE.

The space group is Pm-3m (No. 221) and the conventional cell measures 4.366, 4.366 and 4.366 Å, with angles of 90.00, 90.00 and 90.00 degrees. Symmetry generates all atoms from Nb at (0.000, 0.000, 0.000), Cr at (0.000, 0.000, 0.500) and Os at (0.500, 0.500, 0.500).

The density of states at the Fermi level is 6.89 states/eV per cell. As for the relative energy among the computed polymorphs: 61.74 kJ/mol of atoms. For the calculated formation energy, the calculation gives 2105 meV/atom.